Record 1
TmZrTeC: optimized geometry, PBE.

abc: 3.647 3.647 13.666
angles: 90.00 90.00 120.00
Atoms (fractional coordinates):
C 0.000 0.000 0.000
C 0.000 0.000 0.500
Te 0.667 0.333 0.261
Te 0.333 0.667 0.739
Tm 0.333 0.667 0.094
Tm 0.667 0.333 0.906
Zr 0.333 0.667 0.414
Zr 0.667 0.333 0.586

Output
symmetry	P-3m1, No. 164
distance to the lowest polymorph of the same formula	0.000	eV per atom



Record 2
Lu4Zr2Sb3N3: optimized geometry, PBE.

abc: 5.983 5.983 14.679
angles: 101.66 101.66 60.13
Atoms (fractional coordinates):
Lu 0.696 0.862 0.087
Lu 0.028 0.196 0.087
Lu 0.804 0.972 0.413
Lu 0.138 0.304 0.413
Lu 0.862 0.696 0.587
Lu 0.196 0.028 0.587
Lu 0.972 0.804 0.913
Lu 0.304 0.138 0.913
N 0.669 0.161 0.000
N 0.000 0.500 0.000
N 0.331 0.839 0.000
N 0.500 0.000 0.500
N 0.839 0.331 0.500
N 0.161 0.669 0.500
Sb 0.737 0.584 0.250
Sb 0.095 0.905 0.250
Sb 0.416 0.263 0.250
Sb 0.584 0.737 0.750
Sb 0.905 0.095 0.750
Sb 0.263 0.416 0.750
Zr 0.363 0.528 0.083
Zr 0.472 0.637 0.417
Zr 0.528 0.363 0.583
Zr 0.637 0.472 0.917

Output
symmetry	C2/c, No. 15
energy	-173.36	eV/cell



Record 3
DyHgPO: optimized geometry, PBE.

abc: 4.060 6.161 6.653
angles: 90.00 90.00 90.00
Atoms (fractional coordinates):
Dy 0.500 0.962 0.081
Dy 0.500 0.038 0.581
Hg 0.000 0.564 0.497
Hg 0.000 0.436 0.997
O 0.500 0.778 0.358
O 0.500 0.222 0.858
P 0.000 0.212 0.318
P 0.000 0.788 0.818

Output
symmetry	Pmc2_1, No. 26
distance to the lowest polymorph of the same formula	0.225	eV per atom



Record 4
TbSc2NiSn3Ir2: optimized geometry, PBE.

abc: 3.500 7.592 7.592
angles: 120.43 90.00 90.00
Atoms (fractional coordinates):
Ir 0.500 0.673 0.331
Ir 0.500 0.331 0.673
Ni 0.000 0.999 0.999
Sc 0.000 0.999 0.599
Sc 0.000 0.599 0.999
Sn 0.500 0.995 0.262
Sn 0.500 0.741 0.741
Sn 0.500 0.262 0.995
Tb 0.000 0.401 0.401

Output
symmetry	Amm2, No. 38
energy	-59.44	eV/cell



Record 5
PrY2In3Cu3: optimized geometry, PBE.

abc: 3.959 7.540 7.540
angles: 119.74 90.00 90.00
Atoms (fractional coordinates):
Cu 0.000 0.002 0.002
Cu 0.500 0.670 0.330
Cu 0.500 0.330 0.670
In 0.500 0.747 0.004
In 0.500 0.250 0.250
In 0.500 0.004 0.747
Pr 0.000 0.588 0.588
Y 0.000 0.999 0.409
Y 0.000 0.409 0.999

Output
symmetry	Amm2, No. 38
energy	-40.74	eV/cell



Record 6
BaSc2Co: optimized geometry, PBE.

abc: 5.117 5.117 5.117
angles: 60.00 60.00 60.00
Atoms (fractional coordinates):
Ba 0.500 0.500 0.500
Co 0.250 0.250 0.250
Sc 0.000 0.000 0.000
Sc 0.750 0.750 0.750

Output
symmetry	F-43m, No. 216
energy	-19.25	eV/cell



Record 7
PrGdCu2N4: optimized geometry, PBE.

abc: 3.474 3.474 8.446
angles: 90.00 90.00 90.00
Atoms (fractional coordinates):
Cu 0.500 0.000 0.495
Cu 0.000 0.500 0.495
Gd 0.500 0.500 0.195
N 0.500 0.000 0.008
N 0.000 0.500 0.008
N 0.000 0.000 0.350
N 0.500 0.500 0.646
Pr 0.000 0.000 0.802

Output
symmetry	P4mm, No. 99
energy	-50.01	eV/cell



Record 8
ErZnPd: optimized geometry, PBE.

abc: 4.450 4.450 6.864
angles: 90.00 90.00 120.00
Atoms (fractional coordinates):
Er 0.000 0.000 0.000
Er 0.000 0.000 0.500
Pd 0.667 0.333 0.250
Pd 0.333 0.667 0.750
Zn 0.333 0.667 0.250
Zn 0.667 0.333 0.750

Output
formation energy from the elements	-69	kJ/mol of atoms
symmetry	P6_3/mmc, No. 194



| no. | total moment (μB per formula unit) |
| --- | --- |
| 1 | 0.0 |
| 2 | 0.0 |
| 3 | 0.0 |
| 4 | 0.0 |
| 5 | 0.0 |
| 6 | 0.0 |
| 7 | 0.4 |
| 8 | 0.0 |